No. 1
The following is a PBE-GGA calculation of DyZrPb after structural relaxation, from Alexandria via LeMat-Bulk.

Geometry as POSCAR:
```
DyZrPb
1.0
4.408 0.000 0.000
0.000 4.408 0.000
0.000 0.000 8.332
Dy Zr Pb
2 2 2
direct
0.250 0.250 0.164
0.750 0.750 0.836
0.250 0.750 0.500
0.750 0.250 0.500
0.250 0.250 0.773
0.750 0.750 0.227
```

Summary:
**Formation energy**: -400 meV per atom
**Distance to the lowest polymorph of the same formula**: 0 meV per atom
**M_tot**: 0.00 μB/f.u.
**Space-group type**: P4/nmm (129)
**Density of states at the Fermi level**: 0.763 states/eV per atom

=====

No. 2
The following is a PBE-GGA calculation of La2Sn2O after structural relaxation, from Alexandria via LeMat-Bulk.

Geometry as POSCAR:
```
La2Sn2O
1.0
6.773 0.000 0.000
0.000 6.773 0.000
0.000 0.000 5.803
La Sn O
4 4 2
direct
0.177 0.323 0.000
0.323 0.823 0.000
0.677 0.177 0.000
0.823 0.677 0.000
0.154 0.654 0.500
0.346 0.154 0.500
0.654 0.846 0.500
0.846 0.346 0.500
0.000 0.000 0.000
0.500 0.500 0.000
```

Summary:
**ΔE_f (raw)**: -1.25 eV/atom
**M_tot**: 0.00 μB/f.u.
**Space-group type**: P4/mbm (127)
**Density of states at the Fermi level**: 0.509 states/eV per atom

=====

| no. | raw total energy (eV/cell) |
| --- | --- |
| 1 | -36.12 |
| 2 | -58.14 |